Record 1
First-principles (PBE-GGA) data for a geometry-optimized KInGe2Bi structure, as listed in Alexandria via LeMat-Bulk.

The energy is -2.1988 eV/atom. As for the formation energy: 27.48 kcal/mol of atoms. Its total moment is 0.00 Bohr magnetons per cell. The calculated volume comes out at 37.5 Å³ per atom.

POSCAR file:
```
KInGe2Bi
1.0
5.604 0.000 0.000
0.000 5.973 0.000
0.000 0.000 5.604
K Ge Bi In
1 2 1 1
Cartesian
0.000 0.000 0.000
0.000 0.000 2.802
2.802 0.000 0.000
0.000 2.986 0.000
2.802 2.986 2.802
```



Record 2
First-principles (PBE-GGA) data for a geometry-optimized InGeBi2Mo structure, as listed in Alexandria via LeMat-Bulk.

The energy is -4.7480 eV/atom. As for the formation energy: 10.19 kcal/mol of atoms. Its total moment is 0.00 Bohr magnetons per cell. The calculated volume comes out at 29.7 Å³ per atom.

POSCAR file:
```
InGeBi2Mo
1.0
-3.935 3.116 2.216
0.593 -2.644 4.771
3.391 3.287 1.400
Mo Ge Bi In
1 1 2 1
Cartesian
0.000 0.000 0.000
1.695 1.643 0.700
0.296 -1.322 2.386
-1.968 1.558 1.108
0.024 1.880 4.193
```



Record 3
First-principles (PBE-GGA) data for a geometry-optimized NaInGeBi structure, as listed in Alexandria via LeMat-Bulk.

The energy is -3.0960 eV/atom. As for the formation energy: 0.99 kcal/mol of atoms. Its total moment is 0.00 Bohr magnetons per cell. The calculated volume comes out at 26.3 Å³ per atom.

POSCAR file:
```
NaInGeBi
1.0
-0.616 -4.944 1.812
1.779 -4.106 -2.843
4.211 -2.755 1.670
Na Ge Bi In
1 1 1 1
Cartesian
1.343 -2.951 0.160
4.030 -8.853 0.479
0.000 0.000 0.000
2.687 -5.902 0.320
```